# 1
VASP calculation (PBE) on ZrSI3 after structural relaxation.

Lattice parameters (Å, degrees): 8.8182 8.8182 14.2333 93.87 93.87 125.77
Closest atoms and distances in Å follow each position.
Atoms (fractional coordinates):
Zr1 0.0240 0.1451 0.1457  2 S 2.56-2.68, 1 I 2.73
Zr2 0.1451 0.0240 0.6457  2 S 2.56-2.68, 1 I 2.73
Zr3 0.8549 0.9760 0.3543  2 S 2.56-2.68, 1 I 2.73
Zr4 0.9760 0.8549 0.8543  2 S 2.56-2.68, 1 I 2.73
S1 0.0534 0.7178 0.7061  1 S 2.06
S2 0.2822 0.9466 0.7939  1 S 2.06
S3 0.7178 0.0534 0.2061  1 S 2.06
S4 0.9466 0.2822 0.2939  1 S 2.06
I1 0.0478 0.2386 0.5337  2 Zr 2.96-3.00
I2 0.1866 0.2788 0.8025  2 Zr 2.90-3.23
I3 0.2046 0.4953 0.0893  1 Zr 2.73
I4 0.2386 0.0478 0.0337  2 Zr 2.96-3.00
I5 0.2788 0.1866 0.3025  2 Zr 2.90-3.23
I6 0.4953 0.2046 0.5893  1 Zr 2.73
I7 0.5047 0.7954 0.4107  1 Zr 2.73
I8 0.7212 0.8134 0.6975  2 Zr 2.90-3.23
I9 0.7614 0.9522 0.9663  2 Zr 2.96-3.00
I10 0.7954 0.5047 0.9107  1 Zr 2.73
I11 0.8134 0.7212 0.1975  2 Zr 2.90-3.23
I12 0.9522 0.7614 0.4663  2 Zr 2.96-3.00

* raw formation energy: -0.89 eV/atom
* crystal system: monoclinic
* excess energy over the best structure of this formula in the dataset: 0.000 eV per atom
* size of the total moment: 0.0 Bohr magnetons per cell

---

# 2
VASP calculation (PBE) on ZrS8I2 after structural relaxation.

Lattice parameters (Å, degrees): 6.2007 6.5196 9.6123 76.39 80.39 62.89
Closest atoms and distances in Å follow each position.
Atoms (fractional coordinates):
Zr1 0.0000 0.0000 0.0000  8 S 2.61-2.84
S1 0.0475 0.2619 0.7552  1 S 2.02
S2 0.0910 0.5780 0.9328  1 S 1.98
S3 0.1111 0.9529 0.7072  1 S 2.02
S4 0.4326 0.8973 0.0683  1 S 2.01
S5 0.5674 0.1027 0.9317  1 S 2.01
S6 0.8889 0.0471 0.2928  1 S 2.02
S7 0.9090 0.4220 0.0672  1 S 1.98
S8 0.9525 0.7381 0.2448  1 S 2.02
I1 0.4423 0.3214 0.3240  1 S 2.53
I2 0.5577 0.6786 0.6760  1 S 2.53

* raw formation energy: -0.18 eV/atom
* DOS(E_F): 0.370 states/eV/atom
* crystal system: triclinic
* size of the total moment: 0.0 Bohr magnetons per cell

---

# 3
VASP calculation (PBE) on Zr6S12I after structural relaxation.

Lattice parameters (Å, degrees): 7.7364 7.7364 7.7364 104.20 104.20 104.20
Closest atoms and distances in Å follow each position.
Atoms (fractional coordinates):
Zr1 0.2471 0.2471 0.6519  7 S 2.53-2.76
Zr2 0.2471 0.6519 0.2471  7 S 2.53-2.76
Zr3 0.3481 0.7529 0.7529  7 S 2.53-2.76
Zr4 0.6519 0.2471 0.2471  7 S 2.53-2.76
Zr5 0.7529 0.3481 0.7529  7 S 2.53-2.76
Zr6 0.7529 0.7529 0.3481  7 S 2.53-2.76
S1 0.1278 0.5000 0.8722  4 Zr 2.67-2.76
S2 0.1278 0.8722 0.5000  4 Zr 2.67-2.76
S3 0.1768 0.4528 0.4528  3 Zr 2.53-2.62
S4 0.4528 0.1768 0.4528  3 Zr 2.53-2.62
S5 0.4528 0.4528 0.1768  3 Zr 2.53-2.62
S6 0.5000 0.1278 0.8722  4 Zr 2.67-2.76
S7 0.5000 0.8722 0.1278  4 Zr 2.67-2.76
S8 0.5472 0.5472 0.8232  3 Zr 2.53-2.62
S9 0.5472 0.8232 0.5472  3 Zr 2.53-2.62
S10 0.8232 0.5472 0.5472  3 Zr 2.53-2.62
S11 0.8722 0.1278 0.5000  4 Zr 2.67-2.76
S12 0.8722 0.5000 0.1278  4 Zr 2.67-2.76
I1 0.0000 0.0000 0.0000  18 S 3.96-4.17, 6 Zr 4.22

* raw formation energy: -1.21 eV/atom
* DOS(E_F): 0.421 states/eV/atom
* crystal system: trigonal
* size of the total moment: 0.0 Bohr magnetons per cell

---

# 4
VASP calculation (PBE) on Zr2SI after structural relaxation.

Lattice parameters (Å, degrees): 4.8549 4.8549 4.8549 60.00 60.00 60.00
Closest atoms and distances in Å follow each position.
Atoms (fractional coordinates):
Zr1 0.2500 0.2500 0.2500  4 S 2.97, 4 I 2.97
Zr2 0.7500 0.7500 0.7500  4 I 2.97, 4 S 2.97
S1 0.0000 0.0000 0.0000  8 Zr 2.97
I1 0.5000 0.5000 0.5000  8 Zr 2.97

* raw formation energy: -0.48 eV/atom
* DOS(E_F): 1.424 states/eV/atom
* crystal system: cubic
* size of the total moment: 0.0 Bohr magnetons per cell

---

# 5
VASP calculation (PBE) on ZrSI3 after structural relaxation.

Lattice parameters (Å, degrees): 5.5145 5.5145 5.5145 90.00 90.00 90.00
Closest atoms and distances in Å follow each position.
Atoms (fractional coordinates):
Zr1 0.0000 0.0000 0.0000  12 I 3.90
S1 0.5000 0.5000 0.5000  6 I 2.76
I1 0.0000 0.5000 0.5000  2 S 2.76
I2 0.5000 0.0000 0.5000  2 S 2.76
I3 0.5000 0.5000 0.0000  2 S 2.76

* raw formation energy: 0.66 eV/atom
* DOS(E_F): 1.287 states/eV/atom
* crystal system: cubic
* excess energy over the best structure of this formula in the dataset: 1.550 eV per atom
* size of the total moment: 2.5 Bohr magnetons per cell

---

# 6
VASP calculation (PBE) on Zr3S2I4 after structural relaxation.

Lattice parameters (Å, degrees): 3.7287 3.7287 26.7458 90.00 90.00 120.00
Closest atoms and distances in Å follow each position.
Atoms (fractional coordinates):
Zr1 0.0000 0.0000 0.0000  6 S 2.65
Zr2 0.3333 0.6667 0.2603  6 I 2.92-2.93
Zr3 0.3333 0.6667 0.7397  6 I 2.92-2.93
S1 0.3333 0.6667 0.0577  3 Zr 2.65
S2 0.3333 0.6667 0.9423  3 Zr 2.65
I1 0.0000 0.0000 0.1863  3 Zr 2.92
I2 0.0000 0.0000 0.3347  3 Zr 2.93
I3 0.0000 0.0000 0.6653  3 Zr 2.93
I4 0.0000 0.0000 0.8137  3 Zr 2.92

* raw formation energy: -1.01 eV/atom
* DOS(E_F): 0.311 states/eV/atom
* crystal system: hexagonal
* size of the total moment: 0.2 Bohr magnetons per cell

---

# 7
VASP calculation (PBE) on SbI3 after structural relaxation.

Lattice parameters (Å, degrees): 8.2842 8.2842 8.2842 97.79 97.79 136.80
Closest atoms and distances in Å follow each position.
Atoms (fractional coordinates):
Sb1 0.0000 0.0000 0.0000  6 I 3.05-3.11
Sb2 0.7500 0.2500 0.5000  6 I 3.05-3.11
I1 0.2500 0.7500 0.5000  2 Sb 3.05
I2 0.3750 0.2428 0.3678  2 Sb 3.11
I3 0.5000 0.5000 0.0000  2 Sb 3.05
I4 0.7572 0.1250 0.1322  2 Sb 3.11
I5 0.8750 0.0072 0.6322  2 Sb 3.11
I6 0.9928 0.6250 0.8678  2 Sb 3.11

* raw formation energy: -0.11 eV/atom
* DOS(E_F): 0.000 states/eV/atom
* crystal system: tetragonal
* size of the total moment: 0.0 Bohr magnetons per cell

---

# 8
VASP calculation (PBE) on SbI after structural relaxation.

Lattice parameters (Å, degrees): 5.1290 5.1290 10.3940 90.00 90.00 120.00
Closest atoms and distances in Å follow each position.
Atoms (fractional coordinates):
Sb1 0.3333 0.6667 0.0000  3 I 3.05
Sb2 0.6667 0.3333 0.5000  3 I 3.05
I1 0.3333 0.6667 0.4288  3 Sb 3.05
I2 0.6667 0.3333 0.9288  3 Sb 3.05

* raw formation energy: 0.62 eV/atom
* DOS(E_F): 0.364 states/eV/atom
* crystal system: hexagonal
* size of the total moment: 0.0 Bohr magnetons per cell

---

# 9
VASP calculation (PBE) on SbI after structural relaxation.

Lattice parameters (Å, degrees): 5.2382 5.2382 5.2382 60.00 60.00 60.00
Closest atoms and distances in Å follow each position.
Atoms (fractional coordinates):
Sb1 0.0000 0.0000 0.0000  4 I 3.21
I1 0.7500 0.7500 0.7500  4 Sb 3.21

* raw formation energy: 0.71 eV/atom
* DOS(E_F): 1.256 states/eV/atom
* crystal system: cubic
* size of the total moment: 0.0 Bohr magnetons per cell

---

# 10
VASP calculation (PBE) on SbI3 after structural relaxation.

Lattice parameters (Å, degrees): 5.7043 5.7043 5.7043 60.00 60.00 60.00
Closest atoms and distances in Å follow each position.
Atoms (fractional coordinates):
Sb1 0.0000 0.0000 0.0000  8 I 3.49
I1 0.2500 0.2500 0.2500  4 Sb 3.49, 4 I 3.49
I2 0.5000 0.5000 0.5000  8 I 3.49
I3 0.7500 0.7500 0.7500  4 I 3.49, 4 Sb 3.49

* raw formation energy: 0.31 eV/atom
* DOS(E_F): 0.064 states/eV/atom
* crystal system: cubic
* size of the total moment: 0.0 Bohr magnetons per cell

---

# 11
VASP calculation (PBE) on SbI after structural relaxation.

Lattice parameters (Å, degrees): 9.0959 9.0959 9.0959 90.00 90.00 90.00
Closest atoms and distances in Å follow each position.
Atoms (fractional coordinates):
Sb1 0.0000 0.2500 0.5000  4 I 3.22
Sb2 0.0000 0.7500 0.5000  4 I 3.22
Sb3 0.2500 0.5000 0.0000  4 I 3.22
Sb4 0.5000 0.0000 0.2500  4 I 3.22
Sb5 0.5000 0.0000 0.7500  4 I 3.22
Sb6 0.7500 0.5000 0.0000  4 I 3.22
I1 0.0000 0.5000 0.2500  4 Sb 3.22
I2 0.0000 0.5000 0.7500  4 Sb 3.22
I3 0.2500 0.0000 0.5000  4 Sb 3.22
I4 0.5000 0.2500 0.0000  4 Sb 3.22
I5 0.5000 0.7500 0.0000  4 Sb 3.22
I6 0.7500 0.0000 0.5000  4 Sb 3.22

* raw formation energy: 0.73 eV/atom
* DOS(E_F): 1.713 states/eV/atom
* crystal system: cubic
* size of the total moment: 0.0 Bohr magnetons per cell

---

# 12
VASP calculation (PBE) on SbI3 after structural relaxation.

Lattice parameters (Å, degrees): 7.6395 7.6395 8.0227 99.14 99.14 120.02
Closest atoms and distances in Å follow each position.
Atoms (fractional coordinates):
Sb1 0.1667 0.8333 0.0000  6 I 3.05-3.06
Sb2 0.8333 0.1667 0.0000  6 I 3.05-3.06
I1 0.0700 0.4219 0.7651  2 Sb 3.05-3.06
I2 0.2266 0.2266 0.2363  2 Sb 3.06
I3 0.4219 0.0700 0.7651  2 Sb 3.05-3.06
I4 0.5781 0.9300 0.2349  2 Sb 3.05-3.06
I5 0.7734 0.7734 0.7637  2 Sb 3.06
I6 0.9300 0.5781 0.2349  2 Sb 3.05-3.06

* raw formation energy: -0.34 eV/atom
* DOS(E_F): 0.000 states/eV/atom
* crystal system: monoclinic
* size of the total moment: 0.0 Bohr magnetons per cell

---

# 13
VASP calculation (PBE) on SbI after structural relaxation.

Lattice parameters (Å, degrees): 10.9912 10.9912 10.9912 92.16 92.16 157.61
Closest atoms and distances in Å follow each position.
Atoms (fractional coordinates):
Sb1 0.1870 0.2325 0.4195  1 I 2.79, 2 Sb 2.92
Sb2 0.2325 0.8130 0.0455  1 I 2.79, 2 Sb 2.92
Sb3 0.7675 0.1870 0.9545  1 I 2.79, 2 Sb 2.92
Sb4 0.8130 0.7675 0.5805  1 I 2.79, 2 Sb 2.92
I1 0.0535 0.7744 0.8279  1 Sb 2.79
I2 0.2256 0.0535 0.2791  1 Sb 2.79
I3 0.7744 0.9465 0.7209  1 Sb 2.79
I4 0.9465 0.2256 0.1721  1 Sb 2.79

* raw formation energy: -0.11 eV/atom
* crystal system: tetragonal
* size of the total moment: 0.0 Bohr magnetons per cell

---

# 14
VASP calculation (PBE) on SbI3 after structural relaxation.

Lattice parameters (Å, degrees): 7.6973 7.6973 7.6973 149.41 70.48 118.25
Closest atoms and distances in Å follow each position.
Atoms (fractional coordinates):
Sb1 0.0000 0.0000 0.0000  6 I 3.09
I1 0.0130 0.3530 0.6600  2 Sb 3.09
I2 0.2942 0.7942 0.5000  2 Sb 3.09
I3 0.6930 0.3530 0.3400  2 Sb 3.09

* raw formation energy: -0.24 eV/atom
* DOS(E_F): 0.000 states/eV/atom
* crystal system: orthorhombic
* size of the total moment: 0.0 Bohr magnetons per cell

---

# 15
VASP calculation (PBE) on SbI after structural relaxation.

Lattice parameters (Å, degrees): 8.5362 8.5362 8.5362 109.47 109.47 109.47
Closest atoms and distances in Å follow each position.
Atoms (fractional coordinates):
Sb1 0.0000 0.0000 0.7847  1 I 2.96, 3 Sb 3.00
Sb2 0.0000 0.7847 0.0000  1 I 2.96, 3 Sb 3.00
Sb3 0.2153 0.2153 0.2153  1 I 2.96, 3 Sb 3.00
Sb4 0.7847 0.0000 0.0000  1 I 2.96, 3 Sb 3.00
I1 0.0000 0.0000 0.4376  1 Sb 2.96
I2 0.0000 0.4376 0.0000  1 Sb 2.96
I3 0.4376 0.0000 0.0000  1 Sb 2.96
I4 0.5624 0.5624 0.5624  1 Sb 2.96

* raw formation energy: 0.15 eV/atom
* DOS(E_F): 1.118 states/eV/atom
* crystal system: cubic
* size of the total moment: 0.0 Bohr magnetons per cell

---

# 16
VASP calculation (PBE) on SbI3 after structural relaxation.

Lattice parameters (Å, degrees): 8.7313 8.7313 8.7313 51.91 51.91 51.91
Closest atoms and distances in Å follow each position.
Atoms (fractional coordinates):
Sb1 0.1672 0.1672 0.1672  6 I 3.05-3.07
Sb2 0.8328 0.8328 0.8328  6 I 3.05-3.07
I1 0.0682 0.4216 0.7724  2 Sb 3.05-3.07
I2 0.2276 0.9318 0.5784  2 Sb 3.05-3.07
I3 0.4216 0.7724 0.0682  2 Sb 3.05-3.07
I4 0.5784 0.2276 0.9318  2 Sb 3.05-3.07
I5 0.7724 0.0682 0.4216  2 Sb 3.05-3.07
I6 0.9318 0.5784 0.2276  2 Sb 3.05-3.07

* raw formation energy: -0.34 eV/atom
* DOS(E_F): 0.000 states/eV/atom
* crystal system: trigonal
* size of the total moment: 0.0 Bohr magnetons per cell

---

# 17
VASP calculation (PBE) on SbI after structural relaxation.

Lattice parameters (Å, degrees): 4.6573 4.6573 4.6573 60.00 60.00 60.00
Closest atoms and distances in Å follow each position.
Atoms (fractional coordinates):
Sb1 0.0000 0.0000 0.0000  6 I 3.29
I1 0.5000 0.5000 0.5000  6 Sb 3.29

* raw formation energy: 0.41 eV/atom
* DOS(E_F): 0.661 states/eV/atom
* crystal system: cubic
* size of the total moment: 0.0 Bohr magnetons per cell

---

# 18
VASP calculation (PBE) on SbI3 after structural relaxation.

Lattice parameters (Å, degrees): 7.7822 7.7822 12.8071 90.00 90.00 149.72
Closest atoms and distances in Å follow each position.
Atoms (fractional coordinates):
Sb1 0.2064 0.7936 0.7500  6 I 3.09
Sb2 0.7936 0.2064 0.2500  6 I 3.09
I1 0.1390 0.8610 0.2500  2 Sb 3.09
I2 0.3719 0.6281 0.0936  2 Sb 3.09
I3 0.3719 0.6281 0.4064  2 Sb 3.09
I4 0.6281 0.3719 0.5936  2 Sb 3.09
I5 0.6281 0.3719 0.9064  2 Sb 3.09
I6 0.8610 0.1390 0.7500  2 Sb 3.09

* raw formation energy: -0.24 eV/atom
* DOS(E_F): 0.000 states/eV/atom
* crystal system: orthorhombic
* size of the total moment: 0.0 Bohr magnetons per cell

---

# 19
VASP calculation (PBE) on Sb6I after structural relaxation.

Lattice parameters (Å, degrees): 7.2693 7.2693 7.2693 109.47 109.47 109.47
Closest atoms and distances in Å follow each position.
Atoms (fractional coordinates):
Sb1 0.2500 0.5000 0.7500  4 Sb 2.97
Sb2 0.2500 0.7500 0.5000  4 Sb 2.97
Sb3 0.5000 0.2500 0.7500  4 Sb 2.97
Sb4 0.5000 0.7500 0.2500  4 Sb 2.97
Sb5 0.7500 0.2500 0.5000  4 Sb 2.97
Sb6 0.7500 0.5000 0.2500  4 Sb 2.97
I1 0.0000 0.0000 0.0000  24 Sb 4.69

* raw formation energy: 0.21 eV/atom
* DOS(E_F): 0.500 states/eV/atom
* crystal system: cubic
* size of the total moment: 0.0 Bohr magnetons per cell

---

# 20
VASP calculation (PBE) on SbI after structural relaxation.

Lattice parameters (Å, degrees): 8.6654 8.6150 6.9928 66.51 65.75 47.74
Closest atoms and distances in Å follow each position.
Atoms (fractional coordinates):
Sb1 0.0096 0.7404 0.7404  1 Sb 2.64
Sb2 0.2596 0.9904 0.9904  1 Sb 2.64
Sb3 0.7404 0.0096 0.0096  1 Sb 2.64
Sb4 0.9904 0.2596 0.2596  1 Sb 2.64
I1 0.1630 0.5870 0.1630  2 Sb 3.16
I2 0.4130 0.8370 0.4130  2 Sb 3.16
I3 0.5870 0.1630 0.5870  2 Sb 3.16
I4 0.8370 0.4130 0.8370  2 Sb 3.16

* raw formation energy: 0.17 eV/atom
* DOS(E_F): 0.096 states/eV/atom
* crystal system: orthorhombic
* size of the total moment: 0.0 Bohr magnetons per cell